The following is a GGA-PBE calculation of crystalline Li2PmSmTe4 at its relaxed geometry, from the Alexandria database.

Cell lengths 4.4287, 7.6639, 7.5275 Å; angles 109.79, 90.00, 90.00 degrees
Last column: nearest neighbours and their distance in Å.
Positions (direct):
Sm1 0.5000 0.5000 0.0000  6 Te 3.15
Li1 0.5000 0.0000 0.5000  6 Te 3.07
Li2 0.0000 0.5000 0.5000  6 Te 3.06-3.07
Te1 0.5000 0.2543 0.2606  3 Li 3.07, 1 Sm 3.15, 2 Pm 3.16
Te2 0.5000 0.7457 0.7394  3 Li 3.07, 1 Sm 3.15, 2 Pm 3.16
Te3 0.0000 0.2480 0.7400  3 Li 3.06-3.07, 2 Sm 3.15, 1 Pm 3.16
Te4 0.0000 0.7520 0.2600  3 Li 3.06-3.07, 2 Sm 3.15, 1 Pm 3.16
Pm1 0.0000 0.0000 0.0000  6 Te 3.16

Computed properties:
Space-group type: P2/m (10)
Energy relative to the elements, uncorrected: -1299 meV/atom
Crystal system: monoclinic

The following is a GGA-PBE calculation of crystalline NaTbTlAg at its relaxed geometry, from the Alexandria database.

Cell lengths 5.1935, 5.1935, 5.1935 Å; angles 60.00, 60.00, 60.00 degrees
Last column: nearest neighbours and their distance in Å.
Positions (direct):
Tb1 0.7500 0.7500 0.7500  4 Tl 3.18, 4 Ag 3.18
Ag1 0.0000 0.0000 0.0000  4 Tb 3.18, 4 Na 3.18
Na1 0.2500 0.2500 0.2500  4 Tl 3.18, 4 Ag 3.18
Tl1 0.5000 0.5000 0.5000  4 Tb 3.18, 4 Na 3.18

Computed properties:
Space-group type: F-43m (216)
Formation energy from the elements: -0.16 eV per atom
Crystal system: cubic

The following is a GGA-PBE calculation of crystalline AcUTe2C at its relaxed geometry, from the Alexandria database.

Cell lengths 4.1376, 4.1376, 17.2991 Å; angles 90.00, 90.00, 90.00 degrees
Last column: nearest neighbours and their distance in Å.
Positions (direct):
U1 0.5000 0.0000 0.5614  4 C 2.33
U2 0.0000 0.5000 0.4386  4 C 2.33
C1 0.5000 0.5000 0.5000  4 U 2.33
C2 0.0000 0.0000 0.5000  4 U 2.33
Te1 0.0000 0.5000 0.0764  4 Ac 3.22
Te2 0.0000 0.5000 0.6605  1 Ac 3.22, 4 U 3.39, 4 C 3.46
Te3 0.5000 0.0000 0.3395  1 Ac 3.22, 4 U 3.39, 4 C 3.46
Te4 0.5000 0.0000 0.9236  4 Ac 3.22
Ac1 0.5000 0.0000 0.1534  5 Te 3.22
Ac2 0.0000 0.5000 0.8466  5 Te 3.22

Computed properties:
Space-group type: P4/nmm (129)
Energy relative to the elements, uncorrected: -725 meV/atom
Crystal system: tetragonal

The following is a GGA-PBE calculation of crystalline Na17TlCd11 at its relaxed geometry, from the Alexandria database.

Cell lengths 10.1790, 10.1790, 10.1548 Å; angles 109.56, 109.56, 109.37 degrees
Last column: nearest neighbours and their distance in Å.
Positions (direct):
Na1 0.3482 0.0020 0.0009  4 Na 3.32-3.53, 5 Cd 3.45-3.47, 1 Tl 3.48
Na2 0.9994 0.5907 0.3132  5 Cd 3.32-3.47, 7 Na 3.32-3.57
Na3 0.0020 0.3482 0.0009  4 Na 3.32-3.53, 5 Cd 3.45-3.47, 1 Tl 3.48
Na4 0.0014 0.0014 0.0011  11 Cd 3.52-3.56, 4 Na 3.53-3.54, 1 Tl 3.64
Na5 0.3139 0.9987 0.5914  7 Na 3.32-3.58, 5 Cd 3.33-3.45
Na6 0.6874 0.2795 0.6874  5 Cd 3.32-3.48, 7 Na 3.33-3.57
Na7 0.7206 0.4067 0.4074  4 Cd 3.32-3.47, 7 Na 3.33-3.60, 1 Tl 3.34
Na8 0.6523 0.6523 0.6525  4 Na 3.33-3.54, 6 Cd 3.44
Na9 0.3136 0.5953 0.9998  4 Cd 3.31-3.53, 7 Na 3.34-3.57, 1 Tl 3.43
Na10 0.4076 0.4076 0.7219  5 Cd 3.33-3.45, 7 Na 3.34-3.58
Na11 0.9987 0.3139 0.5914  7 Na 3.32-3.58, 5 Cd 3.33-3.45
Na12 0.0010 0.0010 0.3489  4 Na 3.30-3.53, 6 Cd 3.42-3.45
Na13 0.4067 0.7206 0.4074  4 Cd 3.32-3.47, 7 Na 3.33-3.60, 1 Tl 3.34
Na14 0.5953 0.3136 0.9998  4 Cd 3.31-3.53, 7 Na 3.34-3.57, 1 Tl 3.43
Na15 0.6906 0.6906 0.2799  1 Tl 3.26, 7 Na 3.30-3.60, 4 Cd 3.36-3.44
Na16 0.2795 0.6874 0.6874  5 Cd 3.32-3.48, 7 Na 3.33-3.57
Na17 0.5907 0.9994 0.3132  5 Cd 3.32-3.47, 7 Na 3.32-3.57
Cd1 0.1823 0.8202 0.1833  3 Cd 2.96-3.06
Cd2 0.1785 0.1785 0.8139  1 Tl 3.03, 2 Cd 3.04, 3 Na 3.33-3.37
Cd3 0.9979 0.8131 0.6367  3 Cd 2.95-3.07
Cd4 0.6386 0.9995 0.8171  3 Cd 2.95-3.05
Cd5 0.3607 0.1761 0.3640  2 Cd 2.96-3.07, 1 Tl 3.16
Cd6 0.8202 0.1823 0.1833  3 Cd 2.96-3.06
Cd7 0.8131 0.9979 0.6367  3 Cd 2.95-3.07
Cd8 0.8145 0.6370 0.9997  3 Cd 2.95-3.06
Cd9 0.1761 0.3607 0.3640  2 Cd 2.96-3.07, 1 Tl 3.16
Cd10 0.9995 0.6386 0.8171  3 Cd 2.95-3.05
Cd11 0.6370 0.8145 0.9997  3 Cd 2.95-3.06
Tl1 0.3729 0.3729 0.1800  3 Cd 3.03-3.16, 3 Na 3.26-3.34

Computed properties:
Space-group type: Cm (8)
Formation energy from the elements: -0.08 eV per atom
Crystal system: monoclinic

The following is a GGA-PBE calculation of crystalline KTcIr2 at its relaxed geometry, from the Alexandria database.

Cell lengths 3.9783, 4.1877, 4.1877 Å; angles 90.00, 90.00, 90.00 degrees
Last column: nearest neighbours and their distance in Å.
Positions (direct):
K1 0.5000 0.5000 0.0000  8 Ir 2.89, 4 Tc 2.96
Ir1 0.0000 0.5000 0.5000  4 K 2.89, 4 Tc 2.89, 4 Ir 2.96
Ir2 0.0000 0.0000 0.0000  4 K 2.89, 4 Tc 2.89, 4 Ir 2.96
Tc1 0.5000 0.0000 0.5000  8 Ir 2.89, 4 K 2.96

Computed properties:
Space-group type: P4/mmm (123)
Polymorph energy (0 for the lowest one): 1.012 eV per atom
Formation energy from the elements: 1.37 eV per atom
Crystal system: tetragonal

The following is a GGA-PBE calculation of crystalline Ba2GePt at its relaxed geometry, from the Alexandria database.

Cell lengths 4.5385, 4.5385, 9.1865 Å; angles 76.10, 76.10, 59.98 degrees
Last column: nearest neighbours and their distance in Å.
Positions (direct):
Ba1 0.2020 0.2020 0.3875  3 Pt 3.35-3.36, 3 Ge 3.36
Ba2 0.0479 0.0479 0.8625  3 Ge 3.35-3.36, 3 Pt 3.35-3.36
Pt1 0.4583 0.4583 0.6250  3 Ge 2.62
Ge1 0.7917 0.7917 0.6250  3 Pt 2.62

Computed properties:
Space-group type: Cm (8)
Formation energy from the elements: -0.69 eV per atom
Crystal system: monoclinic

The following is a GGA-PBE calculation of crystalline LaPrNd5Tm2 at its relaxed geometry, from the Alexandria database.

Cell lengths 5.7344, 10.5931, 10.7732 Å; angles 90.00, 90.00, 105.70 degrees
Last column: nearest neighbours and their distance in Å.
Positions (direct):
Nd1 0.7184 0.4369 0.8107  1 La 3.13, 1 Tm 3.36, 2 Nd 3.46
Nd2 0.3898 0.7796 0.0278  5 Nd 3.56-3.86, 4 Tm 3.62-3.63, 1 Pr 3.85
Nd3 0.4764 0.9527 0.7399  2 La 3.11-3.38
Nd4 0.7053 0.4105 0.2036  3 Nd 3.46-3.72, 3 Pr 3.54-3.82, 3 Tm 3.62-3.76, 1 La 3.73
Nd5 0.6102 0.2204 0.5278  5 Nd 3.56-3.86, 4 Tm 3.62-3.63, 1 Pr 3.85
Nd6 0.0165 0.0330 0.0264  2 La 3.28, 2 Tm 3.44-3.49
Nd7 0.2816 0.5631 0.3107  1 La 3.13, 1 Tm 3.36, 2 Nd 3.46
Nd8 0.5236 0.0473 0.2399  2 La 3.11-3.38
Nd9 0.9835 0.9670 0.5264  2 La 3.28, 2 Tm 3.44-3.49
Nd10 0.2947 0.5895 0.7036  3 Nd 3.46-3.72, 3 Pr 3.54-3.82, 3 Tm 3.62-3.76, 1 La 3.73
Tm1 0.8831 0.7661 0.8236  8 Nd 3.36-3.62
Tm2 0.1169 0.2339 0.3236  8 Nd 3.36-3.62
Tm3 0.8888 0.7775 0.2348  7 Nd 3.44-3.76, 1 Pr 3.49, 2 La 3.71
Tm4 0.1112 0.2225 0.7348  7 Nd 3.44-3.76, 1 Pr 3.49, 2 La 3.71
La1 0.4172 0.8344 0.4467  5 Nd 3.11-3.38
La2 0.5828 0.1656 0.9467  5 Nd 3.11-3.38
Pr1 0.2012 0.4023 0.0105  2 Tm 3.49-3.79, 8 Nd 3.54-3.85, 2 La 3.81
Pr2 0.7988 0.5977 0.5105  2 Tm 3.49-3.79, 8 Nd 3.54-3.85, 2 La 3.81

Computed properties:
Space-group type: Cmc2_1 (36)
Formation energy from the elements: 0.15 eV per atom
Crystal system: orthorhombic

The following is a GGA-PBE calculation of crystalline Li3AgF7 at its relaxed geometry, from the Alexandria database.

Cell lengths 5.1650, 5.1650, 5.6382 Å; angles 74.24, 74.24, 86.19 degrees
Last column: nearest neighbours and their distance in Å.
Positions (direct):
F1 0.2345 0.2345 0.1022  1 Li 1.96, 1 Ag 2.15
F2 0.7031 0.1052 0.2665  2 Li 1.97-2.00, 1 Ag 2.01
F3 0.8589 0.2663 0.7378  1 Ag 1.97, 1 Li 2.09
F4 0.1052 0.7031 0.2665  2 Li 1.97-2.00, 1 Ag 2.01
F5 0.5224 0.5224 0.5355  3 Li 1.85-1.88
F6 0.2663 0.8589 0.7378  1 Ag 1.97, 1 Li 2.09
F7 0.6969 0.6969 0.0244  1 Li 1.95, 1 Ag 2.14
Ag1 0.9883 0.9883 0.9960  6 F 1.97-2.15
Li1 0.3986 0.8472 0.3558  4 F 1.88-2.09
Li2 0.8472 0.3986 0.3558  4 F 1.88-2.09
Li3 0.5036 0.5036 0.8718  3 F 1.85-1.96

Computed properties:
Space-group type: Cm (8)
Energy relative to the elements, uncorrected: -1966 meV/atom
Crystal system: monoclinic

Calculated density values, unit Mg/m³, following the record order: 5.66, 8.28, 8.21, 3.76, 12.41, 5.72, 7.06, 3.12.